Material: Pu3ScSb4
Method: DFT, PBE-GGA
State: relaxed

```
data_Pu3ScSb4
_space_group_name_H-M_alt 'P 1'
_space_group_IT_number 1
_cell_length_a 4.374
_cell_length_b 7.538
_cell_length_c 7.538
_cell_angle_alpha 109.45
_cell_angle_beta 90.00
_cell_angle_gamma 90.00
loop_
_space_group_symop_operation_xyz
'x,y,z'
loop_
_atom_site_label
_atom_site_type_symbol
_atom_site_fract_x
_atom_site_fract_y
_atom_site_fract_z
_atom_site_occupancy
Pu1 Pu 0.000 0.000 0.500 1
Pu2 Pu 0.500 0.500 0.500 1
Pu3 Pu 0.000 0.500 0.000 1
Sc1 Sc 0.500 0.000 0.000 1
Sb1 Sb 0.000 0.239 0.239 1
Sb2 Sb 0.500 0.756 0.244 1
Sb3 Sb 0.000 0.761 0.761 1
Sb4 Sb 0.500 0.244 0.756 1
```

Output
As for the formation energy without anion corrections: -5.159 eV per formula unit. The spin magnetization comes out at 5.09 Bohr magnetons per cell.